1.
A plane-wave DFT calculation with GGA-PBEsol was carried out for a relaxed Rb2MoO4 crystal.

Cell lengths 6.221, 7.085, 7.820 Å; angles 113.16, 90.00, 116.04 degrees
Atoms (fractional coordinates):
Rb  0.156  0.312  0.748
Rb  0.844  0.688  0.252
Rb  0.513  0.027  0.238
Rb  0.487  0.973  0.762
Mo  0.825  0.650  0.777
Mo  0.175  0.350  0.223
O  0.091  0.717  0.921
O  0.374  0.283  0.079
O  0.909  0.283  0.079
O  0.626  0.717  0.921
O  0.327  0.655  0.371
O  0.673  0.345  0.629
O  0.907  0.815  0.644
O  0.093  0.185  0.356

Properties
Total DFT energy (no corrections) in eV for the cell shown: -99.18
Relative energy among the computed polymorphs in meV per atom: 0
Formation energy without anion corrections in eV/atom: -2.111

2.
A plane-wave DFT calculation with GGA-PBEsol was carried out for a relaxed La2Ta crystal.

Cell lengths 3.633, 5.352, 8.543 Å; angles 90.00, 102.28, 90.00 degrees
Atoms (fractional coordinates):
La  0.001  0.000  0.001
La  0.692  0.000  0.383
La  0.346  0.000  0.693
La  0.547  0.500  0.094
Ta  0.230  0.500  0.461
Ta  0.851  0.500  0.701

Properties
ΔH_f (0 K) in eV per atom: 0.449
Total DFT energy (no corrections) in eV for the cell shown: -43.79
Relative energy among the computed polymorphs in meV per atom: 67

3.
A plane-wave DFT calculation with GGA-PBEsol was carried out for a relaxed Re2Hg crystal.

Cell lengths 2.930, 2.930, 6.157 Å; angles 103.76, 103.76, 90.00 degrees
Atoms (fractional coordinates):
Hg  0.500  0.500  0.000
Re  0.186  0.186  0.373
Re  0.814  0.814  0.627

Properties
ΔH_f (0 K) in eV per atom: 0.421
Total DFT energy (no corrections) in eV for the cell shown: -25.97

- Among the records above, which one has the highest total DFT energy (no corrections)?
  Re2Hg

- What is the total DFT energy (no corrections) in the second record?
  -43.79 eV for the cell shown

- Which of these has the highest total DFT energy (no corrections)?
  Re2Hg

Copy entry 1 word for word.
A plane-wave DFT calculation with GGA-PBEsol was carried out for a relaxed Rb2MoO4 crystal.

Cell lengths 6.221, 7.085, 7.820 Å; angles 113.16, 90.00, 116.04 degrees
Atoms (fractional coordinates):
Rb  0.156  0.312  0.748
Rb  0.844  0.688  0.252
Rb  0.513  0.027  0.238
Rb  0.487  0.973  0.762
Mo  0.825  0.650  0.777
Mo  0.175  0.350  0.223
O  0.091  0.717  0.921
O  0.374  0.283  0.079
O  0.909  0.283  0.079
O  0.626  0.717  0.921
O  0.327  0.655  0.371
O  0.673  0.345  0.629
O  0.907  0.815  0.644
O  0.093  0.185  0.356

Properties
Total DFT energy (no corrections) in eV for the cell shown: -99.18
Relative energy among the computed polymorphs in meV per atom: 0
Formation energy without anion corrections in eV/atom: -2.111